The following is a PBE+U calculation of WF after structural relaxation, from Alexandria.

Properties
M_tot	0.51	μB per atom
V	31	Å³/f.u.
E above lowest polymorph	0.4562	eV/atom
DOS(E_F)	0.23	states/eV/f.u.
crystal system	orthorhombic

Unit cell a=7.670 b=9.480 c=6.825 alpha=90.00 beta=90.00 gamma=90.00
Element x y z (fractional)
W (0.159, 0.000, 0.000)
W (0.841, 0.000, 0.000)
W (0.091, 0.750, 0.250)
W (0.409, 0.750, 0.250)
W (0.159, 0.500, 0.500)
W (0.841, 0.500, 0.500)
W (0.091, 0.250, 0.750)
W (0.409, 0.250, 0.750)
W (0.659, 0.000, 0.500)
W (0.341, 0.000, 0.500)
W (0.591, 0.750, 0.750)
W (0.909, 0.750, 0.750)
W (0.659, 0.500, 0.000)
W (0.341, 0.500, 0.000)
W (0.591, 0.250, 0.250)
W (0.909, 0.250, 0.250)
F (0.000, 0.638, 0.000)
F (0.000, 0.362, 0.000)
F (0.250, 0.112, 0.250)
F (0.250, 0.388, 0.250)
F (0.000, 0.138, 0.500)
F (0.000, 0.862, 0.500)
F (0.250, 0.612, 0.750)
F (0.250, 0.888, 0.750)
F (0.500, 0.638, 0.500)
F (0.500, 0.362, 0.500)
F (0.750, 0.112, 0.750)
F (0.750, 0.388, 0.750)
F (0.500, 0.138, 0.000)
F (0.500, 0.862, 0.000)
F (0.750, 0.612, 0.250)
F (0.750, 0.888, 0.250)